Entry from Alexandria via LeMat-Bulk: an optimized crystal structure of KLiBeH4 (PBE).

## Properties
**VASP energy**: -3.186 eV/atom

a b c (Å): 4.5434 5.1711 6.8464
angles (deg): 90.00 102.71 90.00
Atoms (fractional coordinates):
K1 0.2462 0.2500 0.1141
K2 0.7538 0.7500 0.8859
Li1 0.1793 0.7500 0.4847
Li2 0.8207 0.2500 0.5153
Be1 0.3495 0.2500 0.6840
Be2 0.6505 0.7500 0.3160
H1 0.1665 0.0247 0.7048
H2 0.1665 0.4753 0.7048
H3 0.3753 0.7500 0.1658
H4 0.3993 0.2500 0.4877
H5 0.6007 0.7500 0.5123
H6 0.6247 0.2500 0.8342
H7 0.8335 0.5247 0.2952
H8 0.8335 0.9753 0.2952



Entry from Alexandria via LeMat-Bulk: an optimized crystal structure of SrHgO2 (PBE).

## Properties
**Formation energy from raw total energies**: -1637 meV per atom

a b c (Å): 13.0455 3.8509 6.1607
angles (deg): 90.00 90.00 90.00
Atoms (fractional coordinates):
Sr1 0.1305 0.2500 0.0174
Sr2 0.3695 0.7500 0.5174
Sr3 0.6305 0.2500 0.4826
Sr4 0.8695 0.7500 0.9826
Hg1 0.1147 0.7500 0.5214
Hg2 0.3853 0.2500 0.0214
Hg3 0.6147 0.7500 0.9786
Hg4 0.8853 0.2500 0.4786
O1 0.0434 0.7500 0.8118
O2 0.2037 0.7500 0.2524
O3 0.2963 0.2500 0.7524
O4 0.4566 0.2500 0.3118
O5 0.5434 0.7500 0.6882
O6 0.7037 0.7500 0.2476
O7 0.7963 0.2500 0.7476
O8 0.9566 0.2500 0.1882



Entry from Alexandria via LeMat-Bulk: an optimized crystal structure of Sm2ZrCd (PBE).

## Properties
**Offset from the most stable computed form**: 140.9 meV/atom

a b c (Å): 5.3919 5.3919 5.3919
angles (deg): 60.00 60.00 60.00
Atoms (fractional coordinates):
Sm1 0.2500 0.2500 0.2500
Sm2 0.7500 0.7500 0.7500
Zr1 0.0000 0.0000 0.0000
Cd1 0.5000 0.5000 0.5000